The following is a PBE calculation of a relaxed TbTm5As6 crystal, from the Alexandria database.

The structure in POSCAR format:
```
TbTm5As6
1.0
-3.904 -4.229 -4.088
-4.998 -3.100 3.911
-6.299 3.094 0.780
As Tm Tb
6 5 1
Direct
0.748 0.084 0.336
0.252 0.580 0.336
0.251 0.252 0.000
0.749 0.748 0.000
0.748 0.420 0.664
0.252 0.916 0.664
0.500 0.166 0.668
0.000 0.333 0.334
0.500 0.500 0.000
0.000 0.667 0.666
0.500 0.834 0.332
0.000 0.000 0.000
```

Properties
theoretical density	8.4	g/cm³
total magnetic moment	0.000	μB/atom
ΔH_f (0 K)	-1.5111	eV/atom

***

The following is a PBE calculation of a relaxed EuMgGe crystal, from the Alexandria database.

The structure in POSCAR format:
```
EuMgGe
1.0
-0.298 1.410 -4.659
2.591 -2.319 -3.420
-2.256 -2.834 -3.266
Eu Ge Mg
1 1 1
Direct
0.500 0.500 0.500
0.250 0.250 0.250
0.000 0.000 0.000
```

Properties
theoretical density	5.0	g/cm³
total magnetic moment	2.334	μB/atom
ΔH_f (0 K)	-0.4845	eV/atom

***

The following is a PBE calculation of a relaxed CaSn2Sb2 crystal, from the Alexandria database.

The structure in POSCAR format:
```
CaSn2Sb2
1.0
4.390 0.000 0.000
0.000 4.390 0.000
2.195 2.195 7.981
Sb Ca Sn
2 1 2
Direct
0.409 0.409 0.182
0.591 0.591 0.818
0.000 0.000 0.000
0.750 0.250 0.500
0.250 0.750 0.500
```

Properties
theoretical density	5.6	g/cm³
formation energy without anion corrections	-0.242	eV per atom
total magnetic moment	0.000	μB/atom

***

The following is a PBE calculation of a relaxed NaSr4Hg crystal, from the Alexandria database.

The structure in POSCAR format:
```
NaSr4Hg
1.0
-2.144 6.932 -1.035
-7.609 -5.747 4.480
7.533 1.257 5.163
Na Sr Hg
2 8 2
Direct
0.370 0.620 0.240
0.630 0.380 0.760
0.069 0.195 0.830
0.777 0.722 0.654
0.261 0.636 0.830
0.377 0.932 0.654
0.623 0.068 0.346
0.739 0.364 0.170
0.223 0.278 0.346
0.931 0.805 0.170
0.252 0.002 0.003
0.748 0.998 0.997
```

Properties
theoretical density	3.5	g/cm³
total magnetic moment	0.000	μB/atom
ΔE to the lowest computed polymorph	0.023	eV/atom
ΔH_f (0 K)	-0.1536	eV/atom

***

The following is a PBE calculation of a relaxed LaHf2Ta crystal, from the Alexandria database.

The structure in POSCAR format:
```
LaHf2Ta
1.0
-3.199 1.661 2.481
-2.634 0.143 -3.491
-6.272 -8.752 1.632
La Hf Ta
2 4 2
Direct
0.500 0.500 0.000
0.250 0.750 0.500
0.110 0.125 0.250
0.640 0.625 0.250
0.375 0.890 0.750
0.875 0.360 0.750
0.000 0.000 0.000
0.750 0.250 0.500
```

Properties
theoretical density	11.2	g/cm³
total magnetic moment	0.000	μB/atom
ΔE to the lowest computed polymorph	0.596	eV/atom
ΔH_f (0 K)	0.7916	eV/atom

***

The following is a PBE calculation of a relaxed CaTlP3 crystal, from the Alexandria database.

The structure in POSCAR format:
```
CaTlP3
1.0
-3.529 -1.497 -3.421
-1.237 -3.973 3.015
-3.524 2.895 2.368
P Tl Ca
3 1 1
Direct
0.000 0.500 0.000
0.000 0.000 0.500
0.500 0.000 0.000
0.000 0.000 0.000
0.500 0.500 0.500
```

Properties
theoretical density	4.1	g/cm³
total magnetic moment	0.000	μB/atom
ΔE to the lowest computed polymorph	0.000	eV/atom
ΔH_f (0 K)	0.7017	eV/atom